The following is a PBE calculation of NdAl2Sb after structural relaxation, from the Alexandria database.

Cell: 4.5866 4.5866 4.4381 Å, 90.00 90.00 90.00°
With the nearest neighbours (Å) after each atom.
Sites, in units of the cell vectors:
Nd (0.0000, 0.0000, 0.0000)  8 Al 3.19, 4 Sb 3.24
Al (0.0000, 0.5000, 0.5000)  4 Sb 3.19, 4 Nd 3.19, 4 Al 3.24
Al (0.5000, 0.0000, 0.5000)  4 Sb 3.19, 4 Nd 3.19, 4 Al 3.24
Sb (0.5000, 0.5000, 0.0000)  8 Al 3.19, 4 Nd 3.24

D(E_F): 2.04 states/eV/f.u.
crystal system: tetragonal
total moment: 0.0000 μB/atom
E_form (uncorrected): -0.390 eV per atom